(1)
First-principles (PBE) data for an optimized crystal structure of Hf3ZrN3, as listed in Alexandria.

Structure (CIF):
```
data_Hf3ZrN3
_chemical_formula_sum 'Hf24 Zr8 N24'
_symmetry_space_group_name_H-M 'I -4 3 m'
_symmetry_Int_Tables_number 217
_symmetry_space_group_name_Hall 'I -4 2 3'
_cell_length_a 9.1097
_cell_length_b 9.1097
_cell_length_c 9.1097
_cell_angle_alpha 90.00
_cell_angle_beta 90.00
_cell_angle_gamma 90.00
loop_
_atom_site_label
_atom_site_fract_x
_atom_site_fract_y
_atom_site_fract_z
Hf1 0.1200 0.3739 0.3739
Zr1 0.1266 0.1266 0.1266
N1 0.1203 0.3760 0.6240
```

Total moment, Bohr magnetons per cell: 0.00
Raw formation energy, eV per atom: -1.53
Raw total energy, eV per atom: -10.5816

---

(2)
First-principles (PBE) data for an optimized crystal structure of ZrP2SCl, as listed in Alexandria.

Structure (CIF):
```
data_ZrP2SCl
_chemical_formula_sum 'Zr1 P2 S1 Cl1'
_symmetry_space_group_name_H-M 'P 4/m m m'
_symmetry_Int_Tables_number 123
_symmetry_space_group_name_Hall '-P 4 2'
_cell_length_a 4.5061
_cell_length_b 4.5061
_cell_length_c 4.6047
_cell_angle_alpha 90.00
_cell_angle_beta 90.00
_cell_angle_gamma 90.00
loop_
_atom_site_label
_atom_site_fract_x
_atom_site_fract_y
_atom_site_fract_z
Zr1 0.0000 0.0000 0.0000
P1 0.0000 0.5000 0.5000
S1 0.5000 0.5000 0.5000
Cl1 0.5000 0.5000 0.0000
```

Total moment, Bohr magnetons per cell: 0.00
Raw formation energy, eV per atom: 0.41
Raw total energy, eV per atom: -4.6604

---

(3)
First-principles (PBE) data for an optimized crystal structure of TiSnBr2, as listed in Alexandria.

Structure (CIF):
```
data_TiSnBr2
_chemical_formula_sum 'Ti4 Sn4 Br8'
_symmetry_space_group_name_H-M 'I -4 2 d'
_symmetry_Int_Tables_number 122
_symmetry_space_group_name_Hall 'I -4 2bw'
_cell_length_a 7.1828
_cell_length_b 7.1828
_cell_length_c 10.7932
_cell_angle_alpha 90.00
_cell_angle_beta 90.00
_cell_angle_gamma 90.00
loop_
_atom_site_label
_atom_site_fract_x
_atom_site_fract_y
_atom_site_fract_z
Ti1 0.0000 0.0000 0.0000
Sn1 0.0000 0.0000 0.5000
Br1 0.1625 0.2500 0.1250
```

Total moment, Bohr magnetons per cell: 8.00
Raw formation energy, eV per atom: -0.01
Raw total energy, eV per atom: -3.8165

---

(4)
First-principles (PBE) data for an optimized crystal structure of ThCo3H, as listed in Alexandria.

Structure (CIF):
```
data_ThCo3H
_chemical_formula_sum 'Th1 Co3 H1'
_symmetry_space_group_name_H-M 'P m -3 m'
_symmetry_Int_Tables_number 221
_symmetry_space_group_name_Hall '-P 4 2 3'
_cell_length_a 3.9329
_cell_length_b 3.9329
_cell_length_c 3.9329
_cell_angle_alpha 90.00
_cell_angle_beta 90.00
_cell_angle_gamma 90.00
loop_
_atom_site_label
_atom_site_fract_x
_atom_site_fract_y
_atom_site_fract_z
Th1 0.0000 0.0000 0.0000
Co1 0.0000 0.5000 0.5000
H1 0.5000 0.5000 0.5000
```

Total moment, Bohr magnetons per cell: 1.49
Raw total energy, eV per atom: -6.5065

---

(5)
First-principles (PBE) data for an optimized crystal structure of TaHOs2W, as listed in Alexandria.

Structure (CIF):
```
data_TaHOs2W
_chemical_formula_sum 'Ta1 H1 Os2 W1'
_symmetry_space_group_name_H-M 'P 4/m m m'
_symmetry_Int_Tables_number 123
_symmetry_space_group_name_Hall '-P 4 2'
_cell_length_a 4.0006
_cell_length_b 4.0006
_cell_length_c 4.0414
_cell_angle_alpha 90.00
_cell_angle_beta 90.00
_cell_angle_gamma 90.00
loop_
_atom_site_label
_atom_site_fract_x
_atom_site_fract_y
_atom_site_fract_z
Ta1 0.0000 0.0000 0.0000
H1 0.5000 0.5000 0.5000
Os1 0.0000 0.5000 0.5000
W1 0.5000 0.5000 0.0000
```

Total moment, Bohr magnetons per cell: 0.00
Raw total energy, eV per atom: -10.0842

---

(6)
First-principles (PBE) data for an optimized crystal structure of AlMoPt2, as listed in Alexandria.

Structure (CIF):
```
data_AlMoPt2
_chemical_formula_sum 'Al4 Mo4 Pt8'
_symmetry_space_group_name_H-M 'F -4 3 m'
_symmetry_Int_Tables_number 216
_symmetry_space_group_name_Hall 'F -4 2 3'
_cell_length_a 6.2611
_cell_length_b 6.2611
_cell_length_c 6.2611
_cell_angle_alpha 90.00
_cell_angle_beta 90.00
_cell_angle_gamma 90.00
loop_
_atom_site_label
_atom_site_fract_x
_atom_site_fract_y
_atom_site_fract_z
Al1 0.0000 0.0000 0.0000
Mo1 0.2500 0.2500 0.7500
Pt1 0.0000 0.0000 0.5000
Pt2 0.2500 0.2500 0.2500
```

Energy of formation, eV per atom: -0.334
Total moment, Bohr magnetons per cell: 0.00
Raw total energy, eV per atom: -6.9974

---

Q: Which value of raw total energy does entry 6 give?
A: -6.9974 eV per atom

---

Q: total moment of number 1 (Hf3ZrN3)?
A: 0.00 Bohr magnetons per cell

---

Q: total moment of number 3 (TiSnBr2)?
A: 8.00 Bohr magnetons per cell

---

Copy entry 2 word for word.
First-principles (PBE) data for an optimized crystal structure of ZrP2SCl, as listed in Alexandria.

Structure (CIF):
```
data_ZrP2SCl
_chemical_formula_sum 'Zr1 P2 S1 Cl1'
_symmetry_space_group_name_H-M 'P 4/m m m'
_symmetry_Int_Tables_number 123
_symmetry_space_group_name_Hall '-P 4 2'
_cell_length_a 4.5061
_cell_length_b 4.5061
_cell_length_c 4.6047
_cell_angle_alpha 90.00
_cell_angle_beta 90.00
_cell_angle_gamma 90.00
loop_
_atom_site_label
_atom_site_fract_x
_atom_site_fract_y
_atom_site_fract_z
Zr1 0.0000 0.0000 0.0000
P1 0.0000 0.5000 0.5000
S1 0.5000 0.5000 0.5000
Cl1 0.5000 0.5000 0.0000
```

Total moment, Bohr magnetons per cell: 0.00
Raw formation energy, eV per atom: 0.41
Raw total energy, eV per atom: -4.6604